A:
The following is a meta-GGA SCAN calculation of IrSe3Br9 at its PBEsol-relaxed geometry, from the Alexandria database.

Results
* N(E_F): 0.0 states/eV per cell
* symmetry: P2_1/c (14)
* M_tot: 0.00 μB per formula unit

Cell lengths 8.422, 13.316, 14.285 Å; angles 90.00, 94.00, 90.00 degrees
Positions (direct):
Ir 0.567 0.750 0.855
Ir 0.433 0.250 0.145
Ir 0.067 0.750 0.355
Ir 0.933 0.250 0.645
Br 0.206 0.497 0.463
Br 0.243 0.896 0.571
Br 0.162 0.491 0.156
Br 0.132 0.689 0.748
Br 0.238 0.252 0.268
Br 0.561 0.097 0.221
Br 0.868 0.311 0.252
Br 0.294 0.997 0.037
Br 0.001 0.803 0.954
Br 0.547 0.485 0.290
Br 0.133 0.255 0.522
Br 0.632 0.811 0.248
Br 0.439 0.903 0.779
Br 0.262 0.752 0.232
Br 0.939 0.597 0.279
Br 0.738 0.248 0.768
Br 0.794 0.503 0.537
Br 0.257 0.396 0.929
Br 0.453 0.515 0.710
Br 0.501 0.697 0.454
Br 0.367 0.755 0.978
Br 0.706 0.003 0.963
Br 0.838 0.509 0.844
Br 0.633 0.245 0.022
Br 0.499 0.303 0.546
Br 0.368 0.189 0.752
Br 0.999 0.197 0.046
Br 0.867 0.745 0.478
Br 0.757 0.104 0.429
Br 0.338 0.991 0.344
Br 0.953 0.985 0.210
Br 0.762 0.748 0.732
Br 0.743 0.604 0.071
Br 0.662 0.009 0.656
Br 0.047 0.015 0.790
Br 0.061 0.403 0.721
Se 0.229 0.672 0.481
Se 0.771 0.328 0.519
Se 0.905 0.810 0.218
Se 0.271 0.172 0.019
Se 0.623 0.586 0.915
Se 0.877 0.086 0.585
Se 0.595 0.310 0.282
Se 0.095 0.190 0.782
Se 0.377 0.414 0.085
Se 0.405 0.690 0.718
Se 0.729 0.828 0.981
Se 0.123 0.914 0.415

=====

B:
The following is a meta-GGA SCAN calculation of IrSe3Br9 at its PBEsol-relaxed geometry, from the Alexandria database.

Results
* N(E_F): 0.0 states/eV per cell
* symmetry: P-1 (2)
* M_tot: 0.00 μB per formula unit

Cell lengths 7.895, 8.314, 13.130 Å; angles 82.41, 85.41, 67.69 degrees
Positions (direct):
Br 0.156 0.515 0.605
Br 0.624 0.596 0.902
Br 0.386 0.372 0.369
Br 0.258 0.058 0.537
Br 0.614 0.628 0.631
Br 0.347 0.873 0.061
Br 0.424 0.024 0.747
Br 0.893 0.076 0.183
Br 0.259 0.774 0.355
Br 0.107 0.924 0.817
Br 0.164 0.451 0.888
Br 0.653 0.127 0.939
Br 0.741 0.226 0.645
Br 0.376 0.404 0.098
Br 0.742 0.942 0.463
Br 0.844 0.485 0.395
Br 0.836 0.549 0.112
Br 0.576 0.976 0.253
Ir 0.724 0.776 0.753
Ir 0.276 0.224 0.247
Se 0.036 0.505 0.250
Se 0.133 0.080 0.375
Se 0.151 0.146 0.111
Se 0.867 0.920 0.625
Se 0.849 0.854 0.889
Se 0.964 0.495 0.750

=====

The structure with the greatest stability is B.

=====

A:
The following is a meta-GGA SCAN calculation of ZnIrSe2Br at its PBEsol-relaxed geometry, from the Alexandria database.

Results
* N(E_F): 3.8 states/eV per cell
* symmetry: P4/mmm (123)
* M_tot: 0.00 μB per formula unit

Cell lengths 4.795, 4.795, 5.187 Å; angles 90.00, 90.00, 90.00 degrees
Positions (direct):
Se 0.000 0.500 0.000
Se 0.500 0.000 0.000
Zn 0.500 0.500 0.500
Ir 0.000 0.000 0.000
Br 0.000 0.000 0.500

=====

B:
The following is a meta-GGA SCAN calculation of ZnIrSe2Br at its PBEsol-relaxed geometry, from the Alexandria database.

Results
* N(E_F): 4.9 states/eV per cell
* symmetry: P4/mmm (123)
* M_tot: 2.81 μB per formula unit

Cell lengths 4.755, 4.755, 4.737 Å; angles 90.00, 90.00, 90.00 degrees
Each line ends with the local moment (μB).
Positions (direct):
Zn 0.000 0.000 0.000  0.00
Se 0.500 0.000 0.000  0.12
Se 0.000 0.500 0.000  0.12
Br 0.000 0.000 0.500  0.20
Ir 0.500 0.500 0.500  2.09

=====

The structure with the greatest stability is A.

=====

A:
The following is a meta-GGA SCAN calculation of Si2IrBr at its PBEsol-relaxed geometry, from the Alexandria database.

Results
* N(E_F): 1.8 states/eV per cell
* symmetry: Pmmm (47)
* M_tot: 0.00 μB per formula unit

Cell lengths 2.873, 4.589, 4.753 Å; angles 90.00, 90.00, 90.00 degrees
Positions (direct):
Ir 0.000 0.500 0.500
Si 0.000 0.000 0.000
Si 0.500 0.500 0.000
Br 0.500 0.000 0.500

=====

B:
The following is a meta-GGA SCAN calculation of Si2IrBr at its PBEsol-relaxed geometry, from the Alexandria database.

Results
* N(E_F): 1.1 states/eV per cell
* symmetry: Cm (8)
* M_tot: 0.00 μB per formula unit

Cell lengths 3.541, 3.798, 7.739 Å; angles 63.92, 76.78, 62.22 degrees
Positions (direct):
Br 0.037 0.415 0.511
Si 0.010 0.143 0.838
Si 0.631 0.593 0.144
Ir 0.322 0.350 0.007

=====

C:
The following is a meta-GGA SCAN calculation of Si2IrBr at its PBEsol-relaxed geometry, from the Alexandria database.

Results
* N(E_F): 1.9 states/eV per cell
* symmetry: P4/mmm (123)
* M_tot: 0.00 μB per formula unit

Cell lengths 3.672, 3.672, 4.805 Å; angles 90.00, 90.00, 90.00 degrees
Positions (direct):
Si 0.500 0.000 0.000
Si 0.000 0.500 0.000
Ir 0.000 0.000 0.500
Br 0.500 0.500 0.500

=====

The structure with the greatest stability is B.

=====

A:
The following is a meta-GGA SCAN calculation of Si2IrBr at its PBEsol-relaxed geometry, from the Alexandria database.

Results
* N(E_F): 1.6 states/eV per cell
* symmetry: I4/mmm (139)
* M_tot: 0.00 μB per formula unit

Cell lengths 4.421, 4.421, 4.421 Å; angles 108.74, 109.84, 109.84 degrees
Positions (direct):
Br 0.000 0.500 0.500
Si 0.500 0.000 0.500
Si 0.500 0.500 0.000
Ir 0.000 0.000 0.000

=====

B:
The following is a meta-GGA SCAN calculation of Si2IrBr at its PBEsol-relaxed geometry, from the Alexandria database.

Results
* N(E_F): 1.4 states/eV per cell
* symmetry: R-3m (166)
* M_tot: 0.00 μB per formula unit

Cell lengths 3.534, 3.534, 7.127 Å; angles 75.65, 75.65, 60.00 degrees
Positions (direct):
Br 0.500 0.500 0.500
Si 0.728 0.728 0.815
Si 0.272 0.272 0.185
Ir 0.000 0.000 0.000

=====

The structure with the greatest stability is B.

=====

A:
The following is a meta-GGA SCAN calculation of TcIr2Br at its PBEsol-relaxed geometry, from the Alexandria database.

Results
* N(E_F): 2.9 states/eV per cell
* symmetry: I4/mmm (139)
* M_tot: 0.00 μB per formula unit

Cell lengths 3.956, 3.956, 4.760 Å; angles 114.55, 114.55, 90.00 degrees
Positions (direct):
Br 0.000 0.000 0.000
Ir 0.750 0.250 0.500
Ir 0.250 0.750 0.500
Tc 0.500 0.500 0.000

=====

B:
The following is a meta-GGA SCAN calculation of TcIr2Br at its PBEsol-relaxed geometry, from the Alexandria database.

Results
* N(E_F): 3.5 states/eV per cell
* symmetry: Pmmm (47)
* M_tot: 1.87 μB per formula unit

Cell lengths 2.793, 4.633, 4.682 Å; angles 90.00, 90.00, 90.00 degrees
Each line ends with the local moment (μB).
Positions (direct):
Br 0.000 0.500 0.500  0.00
Tc 0.500 0.000 0.500  1.47
Ir 0.000 0.000 0.000  0.17
Ir 0.500 0.500 0.000  0.20

=====

The structure with the greatest stability is B.

=====

A:
The following is a meta-GGA SCAN calculation of TlIrBr at its PBEsol-relaxed geometry, from the Alexandria database.

Results
* N(E_F): 2.1 states/eV per cell
* symmetry: F-43m (216)
* M_tot: 0.98 μB per formula unit

Cell lengths 4.669, 4.669, 4.669 Å; angles 60.00, 60.00, 60.00 degrees
Each line ends with the local moment (μB).
Positions (direct):
Tl 0.250 0.250 0.250  0.00
Br 0.000 0.000 0.000  0.15
Ir 0.500 0.500 0.500  0.80

=====

B:
The following is a meta-GGA SCAN calculation of TlIrBr at its PBEsol-relaxed geometry, from the Alexandria database.

Results
* N(E_F): 1.9 states/eV per cell
* symmetry: P-6m2 (187)
* M_tot: 0.00 μB per formula unit

Cell lengths 3.297, 4.559, 4.559 Å; angles 120.00, 90.00, 90.00 degrees
Positions (direct):
Tl 0.500 0.667 0.333
Ir 0.000 0.333 0.667
Br 0.000 0.000 0.000

=====

C:
The following is a meta-GGA SCAN calculation of TlIrBr at its PBEsol-relaxed geometry, from the Alexandria database.

Results
* N(E_F): 2.1 states/eV per cell
* symmetry: Fmm2 (42)
* M_tot: 0.00 μB per formula unit

Cell lengths 3.214, 3.214, 6.941 Å; angles 97.23, 97.23, 117.16 degrees
Positions (direct):
Br 0.981 0.981 0.962
Tl 0.678 0.678 0.356
Ir 0.341 0.341 0.682

=====

The structure with the greatest stability is B.

=====

A:
The following is a meta-GGA SCAN calculation of TlIrBr2 at its PBEsol-relaxed geometry, from the Alexandria database.

Results
* N(E_F): 1.7 states/eV per cell
* symmetry: Cmmm (65)
* M_tot: 0.36 μB per formula unit

Cell lengths 3.587, 3.521, 8.981 Å; angles 90.00, 90.00, 120.62 degrees
Each line ends with the local moment (μB).
Positions (direct):
Br 0.000 0.000 0.313  0.00
Br 0.000 0.000 0.687  0.00
Tl 0.500 0.000 0.000  -0.01
Ir 0.500 0.000 0.500  0.37

=====

B:
The following is a meta-GGA SCAN calculation of TlIrBr2 at its PBEsol-relaxed geometry, from the Alexandria database.

Results
* N(E_F): 1.3 states/eV per cell
* symmetry: P4mm (99)
* M_tot: 0.00 μB per formula unit

Cell lengths 3.455, 3.455, 7.875 Å; angles 90.00, 90.00, 90.00 degrees
Positions (direct):
Tl 0.500 0.500 0.754
Br 0.000 0.000 0.993
Br 0.500 0.500 0.333
Ir 0.000 0.000 0.420

=====

The structure with the greatest stability is A.

=====

A:
The following is a meta-GGA SCAN calculation of TlIr2Br at its PBEsol-relaxed geometry, from the Alexandria database.

Results
* N(E_F): 3.9 states/eV per cell
* symmetry: Imm2 (44)
* M_tot: 0.00 μB per formula unit

Cell lengths 2.904, 4.407, 6.481 Å; angles 109.88, 102.95, 90.00 degrees
Positions (direct):
Ir 0.738 0.238 0.477
Ir 0.053 0.053 0.106
Tl 0.463 0.463 0.926
Br 0.246 0.746 0.492

=====

B:
The following is a meta-GGA SCAN calculation of TlIr2Br at its PBEsol-relaxed geometry, from the Alexandria database.

Results
* N(E_F): 4.1 states/eV per cell
* symmetry: I4/mmm (139)
* M_tot: 0.00 μB per formula unit

Cell lengths 4.297, 4.828, 4.297 Å; angles 63.58, 90.00, 116.42 degrees
Positions (direct):
Br 0.000 0.000 0.000
Ir 0.750 0.500 0.750
Ir 0.250 0.500 0.250
Tl 0.500 0.000 0.500

=====

The structure with the greatest stability is A.

=====

A:
The following is a meta-GGA SCAN calculation of YIrBr2 at its PBEsol-relaxed geometry, from the Alexandria database.

Results
* N(E_F): 2.6 states/eV per cell
* symmetry: P4/mmm (123)
* M_tot: 0.00 μB per formula unit

Cell lengths 3.905, 4.448, 4.448 Å; angles 90.00, 90.00, 90.00 degrees
Positions (direct):
Y 0.500 0.000 0.000
Br 0.000 0.000 0.500
Br 0.000 0.500 0.000
Ir 0.500 0.500 0.500

=====

B:
The following is a meta-GGA SCAN calculation of YIrBr2 at its PBEsol-relaxed geometry, from the Alexandria database.

Results
* N(E_F): 6.6 states/eV per cell
* symmetry: F-43m (216)
* M_tot: 0.06 μB per formula unit

Cell lengths 4.892, 4.892, 4.892 Å; angles 60.00, 60.00, 60.00 degrees
Each line ends with the local moment (μB).
Positions (direct):
Br 0.750 0.750 0.750  0.00
Br 0.000 0.000 0.000  0.00
Ir 0.500 0.500 0.500  0.05
Y 0.250 0.250 0.250  0.00

=====

The structure with the greatest stability is A.

=====

A:
The following is a meta-GGA SCAN calculation of YIrBr2 at its PBEsol-relaxed geometry, from the Alexandria database.

Results
* N(E_F): 3.0 states/eV per cell
* symmetry: R-3m (166)
* M_tot: 1.49 μB per formula unit

Cell lengths 3.338, 3.338, 9.426 Å; angles 79.80, 79.80, 60.00 degrees
Each line ends with the local moment (μB).
Positions (direct):
Ir 0.500 0.500 0.500  1.59
Br 0.260 0.260 0.220  0.03
Br 0.740 0.740 0.780  0.03
Y 0.000 0.000 0.000  -0.14

=====

B:
The following is a meta-GGA SCAN calculation of YIrBr2 at its PBEsol-relaxed geometry, from the Alexandria database.

Results
* N(E_F): 3.6 states/eV per cell
* symmetry: P4/mmm (123)
* M_tot: 0.01 μB per formula unit

Cell lengths 3.467, 3.468, 6.591 Å; angles 90.00, 90.00, 90.00 degrees
Positions (direct):
Br 0.000 0.000 0.257
Br 0.000 0.000 0.743
Y 0.500 0.500 0.500
Ir 0.500 0.500 0.000

=====

C:
The following is a meta-GGA SCAN calculation of YIrBr2 at its PBEsol-relaxed geometry, from the Alexandria database.

Results
* N(E_F): 3.5 states/eV per cell
* symmetry: Fm-3m (225)
* M_tot: 0.45 μB per formula unit

Cell lengths 4.816, 4.816, 4.816 Å; angles 60.00, 60.00, 60.00 degrees
Each line ends with the local moment (μB).
Positions (direct):
Br 0.250 0.250 0.250  0.03
Br 0.750 0.750 0.750  0.03
Ir 0.000 0.000 0.000  0.41
Y 0.500 0.500 0.500  -0.01

=====

D:
The following is a meta-GGA SCAN calculation of YIrBr2 at its PBEsol-relaxed geometry, from the Alexandria database.

Results
* N(E_F): 2.0 states/eV per cell
* symmetry: R-3m (166)
* M_tot: 1.86 μB per formula unit

Cell lengths 3.777, 3.777, 8.551 Å; angles 77.24, 77.24, 60.00 degrees
Each line ends with the local moment (μB).
Positions (direct):
Br 0.113 0.113 0.661  0.13
Br 0.887 0.887 0.339  0.13
Y 0.000 0.000 0.000  0.15
Ir 0.500 0.500 0.500  1.19

=====

The structure with the greatest stability is C.

=====

A:
The following is a meta-GGA SCAN calculation of ZnIrBr2 at its PBEsol-relaxed geometry, from the Alexandria database.

Results
* N(E_F): 1.7 states/eV per cell
* symmetry: Cmmm (65)
* M_tot: 0.00 μB per formula unit

Cell lengths 3.487, 3.382, 8.744 Å; angles 90.00, 90.00, 121.04 degrees
Positions (direct):
Ir 0.500 0.000 0.500
Br 0.000 0.000 0.700
Br 0.000 0.000 0.300
Zn 0.500 0.000 0.000

=====

B:
The following is a meta-GGA SCAN calculation of ZnIrBr2 at its PBEsol-relaxed geometry, from the Alexandria database.

Results
* N(E_F): 2.9 states/eV per cell
* symmetry: P4mm (99)
* M_tot: 0.87 μB per formula unit

Cell lengths 3.375, 3.375, 7.210 Å; angles 90.00, 90.00, 90.00 degrees
Each line ends with the local moment (μB).
Positions (direct):
Br 0.500 0.500 0.320  0.07
Br 0.000 0.000 0.916  0.02
Ir 0.000 0.000 0.569  0.79
Zn 0.500 0.500 0.695  -0.02

=====

The structure with the greatest stability is B.